# 1
{
  "formula": "P2WSBr",
  "functional": "PBE",
  "state": "relaxed",
  "formation_energy_uncorrected_ev_per_atom": 0.35,
  "final_energy_ev_per_cell": -27.84,
  "spacegroup": "P4/mmm (123)",
  "de_polymorph_ev_per_fu": 0.00,
  "lattice_angstrom": [[4.813, 0.000, 0.000], [0.000, 4.813, 0.000], [0.000, 0.000, 4.566]],
  "species": ["S", "W", "P", "P", "Br"],
  "fractional_positions": [[0.000, 0.000, 0.500], [0.000, 0.000, 0.000], [0.500, 0.000, 0.000], [0.000, 0.500, 0.000], [0.500, 0.500, 0.500]]
}

---

# 2
{
  "formula": "YPS2Br",
  "functional": "PBE",
  "state": "relaxed",
  "formation_energy_uncorrected_ev_per_atom": 0.26,
  "final_energy_ev_per_cell": -20.50,
  "spacegroup": "P4/mmm (123)",
  "de_polymorph_ev_per_fu": 0.58,
  "lattice_angstrom": [[-1.003, -3.490, 3.097], [4.622, -0.308, 1.150], [-0.662, 3.346, 3.556]],
  "species": ["S", "S", "Br", "Y", "P"],
  "fractional_positions": [[0.500, 0.000, 0.000], [0.000, 0.500, 0.000], [0.000, 0.000, 0.000], [0.500, 0.500, 0.500], [0.000, 0.000, 0.500]]
}

---

# 3
{
  "formula": "YPS2Br",
  "functional": "PBE",
  "state": "relaxed",
  "formation_energy_uncorrected_ev_per_atom": 0.14,
  "final_energy_ev_per_cell": -21.08,
  "spacegroup": "P4/mmm (123)",
  "de_polymorph_ev_per_fu": 0.00,
  "lattice_angstrom": [[5.156, 0.000, 0.000], [0.000, 5.156, 0.000], [0.000, 0.000, 5.773]],
  "species": ["P", "Br", "S", "S", "Y"],
  "fractional_positions": [[0.000, 0.000, 0.500], [0.500, 0.500, 0.500], [0.500, 0.000, 0.000], [0.000, 0.500, 0.000], [0.000, 0.000, 0.000]]
}

---

# 4
{
  "formula": "ZnPS2Br",
  "functional": "PBE",
  "state": "relaxed",
  "formation_energy_uncorrected_ev_per_atom": 0.80,
  "final_energy_ev_per_cell": -12.60,
  "spacegroup": "P4/mmm (123)",
  "de_polymorph_ev_per_fu": 0.00,
  "lattice_angstrom": [[4.511, 0.000, 0.000], [0.000, 4.511, 0.000], [0.000, 0.000, 5.300]],
  "species": ["S", "S", "Zn", "Br", "P"],
  "fractional_positions": [[0.500, 0.000, 0.000], [0.000, 0.500, 0.000], [0.000, 0.000, 0.000], [0.500, 0.500, 0.500], [0.000, 0.000, 0.500]]
}

---

# 5
{
  "formula": "ZrPS4Br",
  "functional": "PBE",
  "state": "relaxed",
  "formation_energy_uncorrected_ev_per_atom": -0.70,
  "final_energy_ev_per_cell": -74.08,
  "spacegroup": "C2/m (12)",
  "lattice_angstrom": [[6.430, -0.508, 0.161], [1.650, 6.235, 0.161], [1.856, 1.315, 9.577]],
  "species": ["S", "S", "S", "S", "S", "S", "S", "S", "P", "P", "Zr", "Zr", "Br", "Br"],
  "fractional_positions": [[0.152, 0.511, 0.084], [0.489, 0.848, 0.916], [0.848, 0.489, 0.916], [0.438, 0.438, 0.733], [0.224, 0.224, 0.416], [0.562, 0.562, 0.267], [0.776, 0.776, 0.584], [0.511, 0.152, 0.084], [0.638, 0.638, 0.762], [0.362, 0.362, 0.238], [0.781, 0.781, 0.065], [0.219, 0.219, 0.935], [0.010, 0.010, 0.809], [0.990, 0.990, 0.191]]
}

---

# 6
{
  "formula": "ZrPS2Br",
  "functional": "PBE",
  "state": "relaxed",
  "formation_energy_uncorrected_ev_per_atom": -0.05,
  "final_energy_ev_per_cell": -24.12,
  "spacegroup": "P4/mmm (123)",
  "de_polymorph_ev_per_fu": 0.00,
  "lattice_angstrom": [[-3.335, 3.525, -0.531], [-3.409, -3.366, -0.937], [-1.162, -0.300, 5.305]],
  "species": ["P", "S", "S", "Br", "Zr"],
  "fractional_positions": [[0.000, 0.000, 0.500], [0.000, 0.500, 0.000], [0.500, 0.000, 0.000], [0.500, 0.500, 0.500], [0.000, 0.000, 0.000]]
}

---

# 7
{
  "formula": "ZrPS2Br",
  "functional": "PBE",
  "state": "relaxed",
  "formation_energy_uncorrected_ev_per_atom": 0.84,
  "final_energy_ev_per_cell": -19.71,
  "spacegroup": "P4/mmm (123)",
  "de_polymorph_ev_per_fu": 4.41,
  "lattice_angstrom": [[4.726, 0.000, 0.000], [0.000, 4.726, 0.000], [0.000, 0.000, 4.782]],
  "species": ["Br", "Zr", "P", "S", "S"],
  "fractional_positions": [[0.000, 0.000, 0.000], [0.500, 0.500, 0.500], [0.000, 0.000, 0.500], [0.000, 0.500, 0.000], [0.500, 0.000, 0.000]]
}

---

# 8
{
  "formula": "SbP2Br",
  "functional": "PBE",
  "state": "relaxed",
  "formation_energy_uncorrected_ev_per_atom": 0.79,
  "final_energy_ev_per_cell": -13.46,
  "spacegroup": "P4/mmm (123)",
  "de_polymorph_ev_per_fu": 2.81,
  "lattice_angstrom": [[5.586, 0.000, 0.000], [0.000, 3.955, 0.000], [0.000, 0.000, 3.955]],
  "species": ["P", "P", "Br", "Sb"],
  "fractional_positions": [[0.000, 0.000, 0.000], [0.000, 0.500, 0.500], [0.500, 0.000, 0.500], [0.500, 0.500, 0.000]]
}

---

# 9
{
  "formula": "SbP2Br",
  "functional": "PBE",
  "state": "relaxed",
  "formation_energy_uncorrected_ev_per_atom": 0.20,
  "final_energy_ev_per_cell": -15.82,
  "spacegroup": "Imm2 (44)",
  "de_polymorph_ev_per_fu": 0.45,
  "lattice_angstrom": [[7.586, -0.096, 0.012], [5.668, 5.044, -0.012], [-6.622, -2.488, 2.743]],
  "species": ["P", "P", "Br", "Sb"],
  "fractional_positions": [[0.051, 0.051, 0.000], [0.139, 0.639, 0.500], [0.828, 0.328, 0.500], [0.483, 0.483, 0.000]]
}

---

# 10
{
  "formula": "SbP2Br",
  "functional": "PBE",
  "state": "relaxed",
  "formation_energy_uncorrected_ev_per_atom": 0.39,
  "final_energy_ev_per_cell": -15.04,
  "spacegroup": "P4/mmm (123)",
  "de_polymorph_ev_per_fu": 1.23,
  "lattice_angstrom": [[3.872, 0.000, 0.000], [0.000, 3.872, 0.000], [0.000, 0.000, 6.537]],
  "species": ["P", "P", "Sb", "Br"],
  "fractional_positions": [[0.000, 0.000, 0.084], [0.000, 0.000, 0.416], [0.500, 0.500, 0.250], [0.500, 0.500, 0.750]]
}

---

# 11
{
  "formula": "SbP2Br",
  "functional": "PBE",
  "state": "relaxed",
  "formation_energy_uncorrected_ev_per_atom": 0.79,
  "final_energy_ev_per_cell": -13.47,
  "spacegroup": "P4/mmm (123)",
  "de_polymorph_ev_per_fu": 2.80,
  "lattice_angstrom": [[5.038, 0.001, 0.000], [-0.001, 5.038, 0.000], [0.000, 0.000, 3.257]],
  "species": ["P", "P", "Sb", "Br"],
  "fractional_positions": [[0.000, 0.000, 0.000], [0.500, 0.500, 0.000], [0.500, 0.000, 0.500], [0.000, 0.500, 0.500]]
}

---

# 12
{
  "formula": "SbP2Br",
  "functional": "PBE",
  "state": "relaxed",
  "formation_energy_uncorrected_ev_per_atom": 0.62,
  "final_energy_ev_per_cell": -14.13,
  "spacegroup": "Cmmm (65)",
  "de_polymorph_ev_per_fu": 2.14,
  "lattice_angstrom": [[3.987, 0.024, 0.000], [-2.238, 3.300, 0.000], [0.000, 0.000, 7.654]],
  "species": ["Sb", "P", "P", "Br"],
  "fractional_positions": [[0.500, 0.500, 0.250], [0.000, 0.000, 0.481], [0.000, 0.000, 0.019], [0.500, 0.500, 0.750]]
}

---

Summary of M_tot in μB per formula unit
0.0; 0.0; 1.6; 0.2; 0.0; 0.0; 0.0; 0.0; 0.0; 0.0; 0.0; 0.0
(order as listed above)